PBE with a Hubbard U BeMoF3, optimized geometry; space group = Pm-3m; total energy = -22.6 eV/cell
1.0
-3.731 0.809 -1.924
-1.814 -3.206 2.169
-1.033 2.709 3.141
Be Mo F
1 1 3
direct
0.500 0.500 0.500 Be
0.000 0.000 0.000 Mo
0.000 0.500 0.000 F
0.000 0.000 0.500 F
0.500 0.000 0.000 F